TiSnRu: relaxed, PBE.

Values from the calculation:
uncorrected energy = -6.531 eV/atom
volume = 59.5 Å³ per cell
M_tot = 0.0 μB per formula unit
theoretical density = 7.46 g/cm³
calculated formation energy = 50.8 kJ per mole of atoms

The structure in extended XYZ format:
```
3
Lattice="2.9072 0.0000 0.0000 0.0000 2.9072 0.0000 -1.4536 -1.4536 7.0452" Properties=species:S:1:pos:R:3 pbc="T T T"
Ru 1.4536 1.4536 6.1458
Sn 0.0000 0.0000 1.8494
Ti 1.4536 1.4536 3.9817
```

Ho12TlCo5: relaxed, PBE.

Values from the calculation:
uncorrected energy = -5.400 eV/atom
volume = 429.6 Å³ per cell
M_tot = 0.0 μB per formula unit
theoretical density = 9.58 g/cm³
calculated formation energy = -23.4 kJ per mole of atoms

The structure in extended XYZ format:
```
18
Lattice="0.9787 -8.1641 -0.4885 7.2220 3.8588 -0.8959 -2.9800 2.1376 7.3756" Properties=species:S:1:pos:R:3 pbc="T T T"
Ho 4.2834 0.3834 4.2440
Ho 0.9373 -2.5511 1.7472
Ho 0.1005 -5.0709 4.6269
Ho 5.1202 2.9032 1.3644
Ho 4.4985 -2.2129 1.8536
Ho 0.7222 0.0452 4.1376
Ho 2.2984 2.2733 6.5453
Ho 2.9223 -4.4410 -0.5541
Ho 2.7524 -2.5954 4.8998
Ho 2.4683 0.4277 1.0915
Ho 4.9322 3.9106 4.8551
Ho 0.2885 -6.0783 1.1361
Tl 2.1210 2.9982 3.2399
Co 5.1002 -2.6776 -0.8610
Co 3.1004 -1.6277 -0.5234
Co -0.5225 -2.3374 4.1739
Co 5.7432 0.1696 1.8173
Co 0.0000 0.0000 0.0000
```

BeSnSe: relaxed, PBE.

Values from the calculation:
uncorrected energy = -4.102 eV/atom
volume = 165.1 Å³ per cell
M_tot = 0.0 μB per formula unit
energy relative to the lowest polymorph listed for this composition = 0.000 eV per formula unit
theoretical density = 4.16 g/cm³
energy relative to the elements, uncorrected = -0.364 eV per atom

The structure in extended XYZ format:
```
6
Lattice="3.5178 0.0000 0.0017 0.0000 13.3429 0.0000 -0.0035 0.0000 3.5182" Properties=species:S:1:pos:R:3 pbc="T T T"
Be 3.3187 13.3419 2.2943
Be 1.5615 0.0011 0.5344
Sn 1.3252 7.7655 2.2053
Sn 3.0859 5.5775 0.4470
Se 3.3204 11.9541 0.5348
Se 1.5597 1.3888 2.2931
```

KSrLi: relaxed, PBE.

Values from the calculation:
uncorrected energy = -1.406 eV/atom
volume = 147.8 Å³ per cell
M_tot = 0.0 μB per formula unit
energy relative to the lowest polymorph listed for this composition = 0.309 eV per formula unit
theoretical density = 1.50 g/cm³
calculated formation energy = 15.2 kJ per mole of atoms

The structure in extended XYZ format:
```
3
Lattice="4.2392 0.0000 0.0000 -2.1196 3.6713 0.0000 0.0000 0.0000 9.4972" Properties=species:S:1:pos:R:3 pbc="T T T"
K 0.0000 0.0000 0.2868
Li 2.1196 1.2238 3.2639
Sr 0.0000 2.4475 5.9465
```

BeFeAs3: relaxed, PBE.

Values from the calculation:
uncorrected energy = -4.454 eV/atom
volume = 93.9 Å³ per cell
M_tot = 0.0 μB per formula unit
energy relative to the lowest polymorph listed for this composition = 0.000 eV per formula unit
theoretical density = 5.12 g/cm³
calculated formation energy = 74.6 kJ per mole of atoms

The structure in extended XYZ format:
```
5
Lattice="-2.0951 1.3756 -3.7909 0.1399 -4.2446 -1.6176 -4.0304 -0.8624 1.9145" Properties=species:S:1:pos:R:3 pbc="T T T"
Be -2.9928 -1.8657 -1.7470
As 0.0699 -2.1223 -0.8088
As -2.0152 -0.4312 0.9572
As -1.0475 0.6878 -1.8955
Fe 0.0000 0.0000 0.0000
```

Ta5Pd: relaxed, PBE.

Values from the calculation:
uncorrected energy = -10.828 eV/atom
volume = 106.7 Å³ per cell
M_tot = 0.0 μB per formula unit
theoretical density = 15.73 g/cm³
calculated formation energy = -8.2 kJ per mole of atoms

The structure in extended XYZ format:
```
6
Lattice="3.3196 0.0000 0.0000 0.0000 3.3196 0.0000 0.0000 0.0000 9.6833" Properties=species:S:1:pos:R:3 pbc="T T T"
Ta 0.0000 0.0000 6.4496
Ta 1.6598 1.6598 8.0265
Ta 0.0000 0.0000 0.0000
Ta 1.6598 1.6598 1.6568
Ta 0.0000 0.0000 3.2338
Pd 1.6598 1.6598 4.8417
```

Dy2SbIr: relaxed, PBE.

Values from the calculation:
uncorrected energy = -6.278 eV/atom
volume = 105.4 Å³ per cell
M_tot = 0.0 μB per formula unit
energy relative to the lowest polymorph listed for this composition = 0.914 eV per formula unit
theoretical density = 10.07 g/cm³
energy relative to the elements, uncorrected = -0.731 eV per atom

The structure in extended XYZ format:
```
4
Lattice="-2.2982 -3.4710 0.5974 -0.0884 -1.8384 3.7814 -6.1970 2.1094 3.2192" Properties=species:S:1:pos:R:3 pbc="T T T"
Sb 0.0000 0.0000 0.0000
Ir -4.2918 -1.6000 3.7990
Dy -6.2672 -2.5224 5.6429
Dy -2.3164 -0.6775 1.9550
```

VH2I: relaxed, PBE.

Values from the calculation:
uncorrected energy = -4.059 eV/atom
volume = 124.3 Å³ per cell
M_tot = 2.0 μB per formula unit
energy relative to the lowest polymorph listed for this composition = 0.000 eV per formula unit
theoretical density = 4.81 g/cm³

The structure in extended XYZ format:
```
8
Lattice="-2.4428 -4.1356 2.8803 2.2161 -3.7562 -3.5138 3.0888 -4.2239 1.9999" Properties=species:S:1:pos:R:3 pbc="T T T"
I 0.0000 0.0000 0.0000
I 0.2663 -6.1527 2.2818
H 0.1388 -3.0668 1.1342
H 1.2355 -4.9640 -0.6094
H 2.7907 -7.0751 0.3758
H 1.5591 -9.1255 1.8322
V -0.1134 -3.9459 -0.3167
V 2.5957 -5.9630 -0.9153
```

Ni2MoW: relaxed, PBE.

Values from the calculation:
uncorrected energy = -8.845 eV/atom
volume = 53.3 Å³ per cell
M_tot = 0.0 μB per formula unit
energy relative to the lowest polymorph listed for this composition = 0.000 eV per formula unit
theoretical density = 12.36 g/cm³
calculated formation energy = -0.8 kJ per mole of atoms

The structure in extended XYZ format:
```
4
Lattice="4.1309 0.0000 0.0000 0.0000 2.6057 0.1332 0.0000 0.7558 4.9946" Properties=species:S:1:pos:R:3 pbc="T T T"
Ni 0.0000 1.2063 4.9887
Ni 2.0655 0.3909 1.2891
Mo 2.0655 2.5870 4.0476
W 0.0000 1.6138 2.3609
```

CeEuThIn: relaxed, PBE.

Values from the calculation:
uncorrected energy = -6.556 eV/atom
volume = 118.6 Å³ per cell
M_tot = 7.8 μB per formula unit
theoretical density = 8.95 g/cm³
calculated formation energy = 3.5 kJ per mole of atoms

The structure in extended XYZ format:
```
4
Lattice="-2.5631 4.8803 0.1605 -5.4325 0.2924 -0.9024 -3.4261 1.1797 4.1572" Properties=species:S:1:pos:R:3 pbc="T T T"
Eu 0.0000 0.0000 0.0000
Ce -8.5663 4.7643 2.5615
Th -5.7109 3.1762 1.7077
In -2.8554 1.5881 0.8538
```

HfP2PdC: relaxed, PBE.

Values from the calculation:
uncorrected energy = -6.595 eV/atom
volume = 72.3 Å³ per cell
M_tot = 0.0 μB per formula unit
theoretical density = 8.24 g/cm³
calculated formation energy = 42.7 kJ per mole of atoms

The structure in extended XYZ format:
```
5
Lattice="4.2642 0.0000 0.0000 0.0000 3.9769 0.0000 0.0000 0.0000 4.2642" Properties=species:S:1:pos:R:3 pbc="T T T"
P 0.0000 0.0000 2.1321
P 2.1321 0.0000 0.0000
C 0.0000 0.0000 0.0000
Hf 2.1321 1.9885 2.1321
Pd 0.0000 1.9885 0.0000
```

Ba2GeBiSe5: relaxed, PBE.

Values from the calculation:
uncorrected energy = -4.439 eV/atom
volume = 566.4 Å³ per cell
M_tot = 0.0 μB per formula unit
theoretical density = 5.58 g/cm³
energy relative to the elements, uncorrected = -1.132 eV per atom

The structure in extended XYZ format:
```
18
Lattice="4.5428 0.0000 0.0000 -2.2714 9.4337 0.0000 0.0000 0.0000 13.2165" Properties=species:S:1:pos:R:3 pbc="T T T"
Ba 2.2714 7.0972 10.9545
Ba 0.0000 2.2126 9.0959
Ba 0.0000 2.3365 4.3462
Ba 2.2714 7.2211 2.4876
Ge 2.2714 1.0107 12.3370
Ge 0.0000 8.4229 5.7287
Bi 2.2714 5.5602 7.0318
Bi 0.0000 3.8735 0.4235
Se 0.0000 6.6261 0.1241
Se 2.2714 3.4084 11.5726
Se 0.0000 9.3920 10.1490
Se 0.0000 5.5297 8.9302
Se 2.2714 8.8104 6.7777
Se 2.2714 2.8076 6.7324
Se 0.0000 6.0253 4.9643
Se 2.2714 0.0417 3.5407
Se 2.2714 3.9040 2.3219
Se 0.0000 0.6233 0.1695
```

RbSr2USe5: relaxed, PBE.

Values from the calculation:
uncorrected energy = -5.199 eV/atom
volume = 309.9 Å³ per cell
M_tot = 1.0 μB per formula unit
theoretical density = 4.79 g/cm³
energy relative to the elements, uncorrected = -1.528 eV per atom

The structure in extended XYZ format:
```
9
Lattice="-0.2908 -4.5755 -2.7785 7.6921 0.3028 -1.3038 -2.4964 -1.7119 8.2521" Properties=species:S:1:pos:R:3 pbc="T T T"
Rb 3.8460 0.1514 -0.6519
Sr 0.5049 -1.6136 2.6043
Sr 4.3999 -4.3710 1.5656
U -0.1454 -2.2877 -1.3893
Se 6.0603 -3.1124 -0.6809
Se -1.1554 -2.8722 4.8507
Se 2.9030 -2.7124 4.1628
Se 2.0018 -3.2721 0.0070
Se 0.0000 0.0000 0.0000
```

Li2IrCl: relaxed, PBE.

Values from the calculation:
uncorrected energy = -3.871 eV/atom
volume = 57.6 Å³ per cell
M_tot = 0.0 μB per formula unit
energy relative to the lowest polymorph listed for this composition = 1.384 eV per formula unit
theoretical density = 6.96 g/cm³
energy relative to the elements, uncorrected = -0.237 eV per atom

The structure in extended XYZ format:
```
4
Lattice="6.0654 -0.0164 -0.0491 -2.3474 3.9846 0.0213 1.3706 0.7922 2.3785" Properties=species:S:1:pos:R:3 pbc="T T T"
Cl -0.4884 2.3884 1.1999
Ir 1.8590 1.9841 -0.0139
Li 0.0000 0.0000 0.0000
Li 3.7180 0.3879 1.1647
```

Ta2FeRu: relaxed, PBE.

Values from the calculation:
uncorrected energy = -10.412 eV/atom
volume = 61.6 Å³ per cell
M_tot = 1.9 μB per formula unit
theoretical density = 13.98 g/cm³
calculated formation energy = -4.9 kJ per mole of atoms

The structure in extended XYZ format:
```
4
Lattice="4.4335 0.0000 0.0000 2.2168 3.8396 0.0000 2.2168 1.2799 3.6200" Properties=species:S:1:pos:R:3 pbc="T T T"
Fe 4.4335 2.5597 1.8100
Ru 6.6503 3.8396 2.7150
Ta 0.0000 0.0000 0.0000
Ta 2.2168 1.2799 0.9050
```